1.
Material: CoAuI2N
Method: DFT, PBE-GGA
State: relaxed

Properties
magnetic moment: 0.0 Bohr magnetons per cell
Fermi-level density of states: 3.42 states/eV/f.u.

Cell: 5.5204 5.5204 3.4518 Å, 90.00 90.00 90.00°
Fractional positions:
Co: 0.0000 0.0000 0.0000
Au: 0.5000 0.5000 0.5000
I: 0.0000 0.5000 0.0000
I: 0.5000 0.0000 0.0000
N: 0.0000 0.0000 0.5000

***

2.
Material: CoAuI2N
Method: DFT, PBE-GGA
State: relaxed

Properties
magnetic moment: 2.0 Bohr magnetons per cell
Fermi-level density of states: 8.10 states/eV/f.u.

Cell: 5.9631 5.9631 3.7891 Å, 90.00 90.00 90.00°
Fractional positions:
Co: 0.0000 0.0000 0.0000
Au: 0.5000 0.5000 0.5000
I: 0.0000 0.5000 0.5000
I: 0.5000 0.0000 0.5000
N: 0.5000 0.5000 0.0000

***

Formation energy without anion corrections readings, ordered: 0.58; 1.35 eV/atom